## LaNdZnNi (PBE-GGA)

Data for a relaxed LaNdZnNi crystal.

Cell lengths 4.481, 3.901, 11.381 Å; angles 90.00, 90.00, 90.00 degrees
Space group Amm2 (No. 38)
One atom of each set of equivalent atoms:
La1 0.000 0.000 0.000 x2
Nd1 0.500 0.000 0.275 x2
Zn1 0.000 0.000 0.709 x2
Ni1 0.500 0.000 0.586 x2

Results
**Crystal system**: orthorhombic
**Total moment**: 0.000 μB/atom
**Final energy**: -35.79 eV/cell
**Relative energy among the computed polymorphs**: 0 meV/atom
**Energy of formation from the pure elements**: -286 meV/atom